Record 1
TcBrO2 (meta-GGA SCAN, single point on PBEsol structure); formation energy (no corrections) = -3.0 eV/f.u.; Fermi-level density of states = 0.57 states/eV per atom; space group = R-3m (166); theoretical density = 5.317 g/cm³
1.0
1.4241 0.8222 9.3315
-1.4241 0.8222 9.3315
0.0000 -1.6444 9.3315
Tc Br O
1 1 2
direct
0.0000 0.0000 0.0000
0.5000 0.5000 0.5000
0.3749 0.3749 0.3749
0.6251 0.6251 0.6251

***

Record 2
Te6Br2O11 (meta-GGA SCAN, single point on PBEsol structure); formation energy (no corrections) = -19.2 eV/f.u.; Fermi-level density of states = 0.00 states/eV per atom; space group = Cmcm (63); theoretical density = 5.924 g/cm³
1.0
5.8114 -3.4208 0.0000
5.8114 3.4208 0.0000
0.0000 0.0000 15.5292
Te Br O
12 4 22
direct
0.0854 0.9146 0.6402
0.0854 0.9146 0.8598
0.2034 0.4754 0.0861
0.2034 0.4754 0.4139
0.4754 0.2034 0.5861
0.4754 0.2034 0.9139
0.5246 0.7966 0.0861
0.5246 0.7966 0.4139
0.7966 0.5246 0.5861
0.7966 0.5246 0.9139
0.9146 0.0854 0.1402
0.9146 0.0854 0.3598
0.1489 0.5094 0.7500
0.4906 0.8511 0.7500
0.5094 0.1489 0.2500
0.8511 0.4906 0.2500
0.0525 0.1934 0.5941
0.0525 0.1934 0.9059
0.0601 0.9399 0.2500
0.1802 0.5129 0.5378
0.1802 0.5129 0.9622
0.1934 0.0525 0.0941
0.1934 0.0525 0.4059
0.4174 0.5826 0.1124
0.4174 0.5826 0.3876
0.4871 0.8198 0.5378
0.4871 0.8198 0.9622
0.5129 0.1802 0.0378
0.5129 0.1802 0.4622
0.5826 0.4174 0.6124
0.5826 0.4174 0.8876
0.8066 0.9475 0.5941
0.8066 0.9475 0.9059
0.8198 0.4871 0.0378
0.8198 0.4871 0.4622
0.9399 0.0601 0.7500
0.9475 0.8066 0.0941
0.9475 0.8066 0.4059

***

Record 3
Te15W2Br12O2 (meta-GGA SCAN, single point on PBEsol structure); formation energy (no corrections) = -4.6 eV/f.u.; Fermi-level density of states = 0.20 states/eV per atom; space group = P1 (1); theoretical density = 5.664 g/cm³
1.0
7.1350 0.0000 0.0000
-0.8305 9.5236 0.0000
-2.2297 -0.9721 14.1203
Te W Br O
15 2 12 2
direct
0.0000 0.0000 0.0000
0.0159 0.2358 0.5271
0.0770 0.4825 0.0042
0.1195 0.7962 0.8860
0.1671 0.2290 0.9063
0.3934 0.7626 0.5555
0.4025 0.1158 0.1448
0.4677 0.5087 0.0834
0.5584 0.7001 0.2977
0.6435 0.0060 0.8001
0.6599 0.2956 0.3435
0.7523 0.0541 0.2398
0.7897 0.7690 0.7411
0.8362 0.5361 0.2536
0.8720 0.2209 0.7453
0.1740 0.0093 0.5136
0.2275 0.5226 0.5617
0.1179 0.5318 0.7259
0.1716 0.9769 0.6800
0.2054 0.9465 0.3455
0.2727 0.4443 0.4020
0.4987 0.4246 0.6468
0.5018 0.1220 0.5357
0.5026 0.8821 0.0448
0.6244 0.3988 0.9233
0.8507 0.8818 0.4736
0.8972 0.5669 0.5073
0.9657 0.7371 0.1129
0.9748 0.2689 0.1386
0.3664 0.6040 0.1969
0.4261 0.2804 0.2528

***

Record 4
Zr2Te4Br2O11 (meta-GGA SCAN, single point on PBEsol structure); formation energy (no corrections) = -35.9 eV/f.u.; Fermi-level density of states = 0.00 states/eV per atom; space group = P-1 (2); theoretical density = 5.117 g/cm³
1.0
7.8042 0.0000 0.0000
-1.3762 9.5310 0.0000
-3.0850 -4.5522 8.9763
Zr Te Br O
4 8 4 22
direct
0.1115 0.3877 0.3785
0.3728 0.1106 0.1075
0.6272 0.8894 0.8925
0.8885 0.6123 0.6215
0.0122 0.2638 0.0032
0.2238 0.0186 0.7389
0.2581 0.5050 0.7840
0.4816 0.7629 0.4739
0.5184 0.2371 0.5261
0.7419 0.4950 0.2160
0.7762 0.9814 0.2611
0.9878 0.7362 0.9968
0.0997 0.8706 0.3678
0.3647 0.6103 0.1105
0.6353 0.3897 0.8895
0.9003 0.1294 0.6322
0.0674 0.8229 0.6764
0.0710 0.6118 0.8273
0.1086 0.4948 0.5967
0.1760 0.9168 0.0568
0.1773 0.1321 0.9198
0.1815 0.2562 0.1775
0.2910 0.5835 0.4153
0.3222 0.3305 0.5099
0.4152 0.0069 0.8961
0.4464 0.6794 0.8354
0.4941 0.1377 0.3259
0.5059 0.8623 0.6741
0.5536 0.3206 0.1646
0.5848 0.9931 0.1039
0.6778 0.6695 0.4901
0.7090 0.4165 0.5847
0.8185 0.7438 0.8225
0.8227 0.8679 0.0802
0.8240 0.0832 0.9432
0.8914 0.5052 0.4033
0.9290 0.3882 0.1727
0.9326 0.1771 0.3236

***

Record 5
Ti3BrO (meta-GGA SCAN, single point on PBEsol structure); formation energy (no corrections) = -3.4 eV/f.u.; Fermi-level density of states = 0.96 states/eV per atom; space group = Pm-3m (221); theoretical density = 5.646 g/cm³
1.0
4.1299 0.0000 0.0000
0.0000 4.1299 0.0000
0.0000 0.0000 4.1299
Ti Br O
3 1 1
direct
0.0000 0.0000 0.5000
0.0000 0.5000 0.0000
0.5000 0.0000 0.0000
0.5000 0.5000 0.5000
0.0000 0.0000 0.0000

***

Record 6
Tl3BrO (meta-GGA SCAN, single point on PBEsol structure); formation energy (no corrections) = 2.2 eV/f.u.; Fermi-level density of states = 1.16 states/eV per atom; space group = Pm-3m (221); theoretical density = 5.578 g/cm³
1.0
5.9543 0.0000 0.0000
0.0000 5.9543 0.0000
0.0000 0.0000 5.9543
Tl Br O
3 1 1
direct
0.0000 0.0000 0.5000
0.0000 0.5000 0.0000
0.5000 0.0000 0.0000
0.0000 0.0000 0.0000
0.5000 0.5000 0.5000

***

Record 7
TmWBrO4 (meta-GGA SCAN, single point on PBEsol structure); formation energy (no corrections) = -18.9 eV/f.u.; Fermi-level density of states = 0.00 states/eV per atom; space group = P-1 (2); theoretical density = 6.838 g/cm³
1.0
6.8412 0.0000 0.0000
0.6348 7.1371 0.0000
3.2745 2.5161 9.8807
Tm W Br O
4 4 4 16
direct
0.0680 0.0979 0.2694
0.3914 0.6682 0.2354
0.6086 0.3318 0.7646
0.9320 0.9021 0.7306
0.1303 0.4156 0.6226
0.4095 0.8143 0.8677
0.5905 0.1857 0.1323
0.8697 0.5844 0.3774
0.2108 0.2712 0.9866
0.2511 0.0376 0.4845
0.7489 0.9624 0.5155
0.7892 0.7288 0.0134
0.0317 0.6122 0.6967
0.0547 0.7831 0.2886
0.2030 0.8881 0.7983
0.2045 0.5093 0.4405
0.3057 0.7361 0.0459
0.3618 0.3491 0.6652
0.4046 0.9888 0.1937
0.4576 0.3792 0.1997
0.5424 0.6208 0.8003
0.5954 0.0112 0.8063
0.6382 0.6509 0.3348
0.6943 0.2639 0.9541
0.7955 0.4907 0.5595
0.7970 0.1119 0.2017
0.9453 0.2169 0.7114
0.9683 0.3878 0.3033

***

Record 8
UBrO2 (meta-GGA SCAN, single point on PBEsol structure); formation energy (no corrections) = -11.2 eV/f.u.; Fermi-level density of states = 0.10 states/eV per atom; space group = Cmcm (63); theoretical density = 6.960 g/cm³
1.0
2.0562 -10.2293 0.0000
2.0562 10.2293 0.0000
0.0000 0.0000 3.9692
U Br O
2 2 4
direct
0.0760 0.9240 0.7500
0.9240 0.0760 0.2500
0.1812 0.8188 0.2500
0.8188 0.1812 0.7500
0.0351 0.9649 0.2500
0.4226 0.5774 0.2500
0.5774 0.4226 0.7500
0.9649 0.0351 0.7500